1.
Computed, not measured: an optimized crystal structure of Sm6TlTe3Se2 at the PBE-GGA level of DFT.

abc: 4.283 8.900 9.823
angles: 104.23 102.59 90.00
Element x y z (fractional)
Sm1 0.334 0.899 0.669
Sm2 0.673 0.567 0.347
Sm3 0.666 0.101 0.331
Sm4 0.007 0.250 0.013
Sm5 0.993 0.750 0.987
Sm6 0.327 0.433 0.653
Tl1 0.500 0.000 0.000
Te1 0.500 0.500 0.000
Te2 0.835 0.170 0.669
Te3 0.165 0.830 0.331
Se1 0.832 0.666 0.664
Se2 0.168 0.334 0.336

## Properties
final energy	-5.29	eV/atom
size of the total moment	0.00	μB per cell
N(E_F)	5.48	states/eV/f.u.
mass density	7.735	g cm⁻³
energy relative to the elements, uncorrected	-1364	meV per atom

=====

2.
Computed, not measured: an optimized crystal structure of La2SeBr at the PBE-GGA level of DFT.

abc: 6.003 6.003 6.003
angles: 140.64 112.33 81.19
Element x y z (fractional)
Br1 0.250 0.750 0.500
La1 0.988 0.988 0.000
La2 0.512 0.512 0.000
Se1 0.750 0.250 0.500

## Properties
energy above the lowest structure with this stoichiometry	0.288	eV/atom
final energy	-5.11	eV/atom
size of the total moment	0.00	μB per cell
N(E_F)	2.97	states/eV/f.u.
mass density	5.886	g cm⁻³
energy relative to the elements, uncorrected	-1354	meV per atom

=====

3.
Computed, not measured: an optimized crystal structure of Pm6HoAl at the PBE-GGA level of DFT.

abc: 4.952 4.952 10.168
angles: 90.00 90.00 90.00
Element x y z (fractional)
Pm1 0.500 0.500 0.000
Pm2 0.500 0.500 0.500
Pm3 0.500 0.000 0.261
Pm4 0.500 0.000 0.739
Pm5 0.000 0.500 0.261
Pm6 0.000 0.500 0.739
Ho1 0.000 0.000 0.000
Al1 0.000 0.000 0.500

## Properties
final energy	-4.67	eV/atom
size of the total moment	0.00	μB per cell
formation enthalpy at 0 K	-0.064	eV per atom
N(E_F)	8.58	states/eV/f.u.
mass density	7.071	g cm⁻³

=====

4.
Computed, not measured: an optimized crystal structure of LaYTl2 at the PBE-GGA level of DFT.

abc: 3.841 3.874 8.812
angles: 63.92 90.00 90.00
Element x y z (fractional)
Y1 0.500 0.250 0.250
Tl1 0.000 0.983 0.017
Tl2 0.000 0.517 0.483
La1 0.500 0.750 0.750

## Properties
final energy	-4.44	eV/atom
size of the total moment	0.00	μB per cell
formation enthalpy at 0 K	-0.412	eV per atom
N(E_F)	3.41	states/eV/f.u.
mass density	8.975	g cm⁻³

=====

5.
Computed, not measured: an optimized crystal structure of URe2P2 at the PBE-GGA level of DFT.

abc: 3.922 3.951 11.040
angles: 90.00 100.23 90.00
Element x y z (fractional)
U1 0.344 0.250 0.688
U2 0.656 0.750 0.312
Re1 0.045 0.750 0.090
Re2 0.460 0.750 0.919
Re3 0.955 0.250 0.910
Re4 0.540 0.250 0.081
P1 0.750 0.250 0.500
P2 0.250 0.750 0.500
P3 0.887 0.750 0.774
P4 0.113 0.250 0.226

## Properties
final energy	-9.92	eV/atom
size of the total moment	1.95	μB per cell
formation enthalpy at 0 K	-0.515	eV per atom
N(E_F)	4.79	states/eV/f.u.
mass density	13.264	g cm⁻³